Below is crystalline CdP2OF at its relaxed geometry, with properties calculated at the PBE-GGA level.

Results
- ΔE_f (raw) (meV per atom) = -153.2
- total moment (μB/cell) = 0.0
- polymorph energy (0 for the lowest one) (kJ/mol of formula units) = 0
- space-group type = P4/mmm (123)
- DOS(E_F) (states/eV per cell) = 2.87

abc: 3.806 3.806 5.303
angles: 90.00 90.00 90.00
Fractional coordinates of all 5 atoms:
1 Cd 0.000 0.000 0.000
2 P 0.000 0.500 0.500
3 P 0.500 0.000 0.500
4 O 0.500 0.500 0.500
5 F 0.500 0.500 0.000

Below is crystalline CdPO2F at its relaxed geometry, with properties calculated at the PBE-GGA level.

Results
- ΔE_f (raw) (meV per atom) = 462.5
- total moment (μB/cell) = 0.1
- space-group type = P4/mmm (123)
- DOS(E_F) (states/eV per cell) = 2.26

abc: 4.515 4.515 3.381
angles: 90.00 90.00 90.00
Fractional coordinates of all 5 atoms:
1 Cd 0.000 0.000 0.000
2 P 0.500 0.500 0.000
3 O 0.000 0.500 0.500
4 O 0.500 0.000 0.500
5 F 0.500 0.500 0.500

Below is crystalline CdPO2F at its relaxed geometry, with properties calculated at the PBE-GGA level.

Results
- ΔE_f (raw) (meV per atom) = 186.1
- total moment (μB/cell) = 0.0
- space-group type = P4/mmm (123)
- DOS(E_F) (states/eV per cell) = 3.90

abc: 4.213 4.213 4.188
angles: 90.00 90.00 90.00
Fractional coordinates of all 5 atoms:
1 Cd 0.000 0.000 0.000
2 P 0.500 0.500 0.500
3 O 0.000 0.500 0.000
4 O 0.500 0.000 0.000
5 F 0.000 0.000 0.500

> The lowest ΔE_f (raw) belongs to which entry?

CdP2OF

> Which value of total moment does entry 2 give?

0.1 μB/cell

> Which of these has the highest total moment?

number 2